PmP2CN6 after structural relaxation, computed with PBE-GGA.

Cell and atoms, written as POSCAR:
```
PmP2CN6
1.0
-2.589 -0.678 5.064
2.578 -5.187 3.416
2.832 3.822 4.753
N Pm C P
12 2 2 4
Cartesian
3.445 -1.440 6.077
3.212 1.092 5.091
-0.391 -3.135 8.142
0.646 -1.126 4.497
0.197 -4.534 6.314
1.131 -4.871 8.409
1.690 2.828 4.824
1.810 -3.037 7.061
2.175 -0.917 8.737
2.624 2.491 6.919
1.011 0.994 6.172
-0.624 -0.603 7.157
0.849 1.858 8.335
1.972 -3.900 4.898
2.132 1.760 5.738
0.689 -3.803 7.495
1.250 -1.181 2.906
-0.005 -0.123 5.645
1.571 -0.862 10.328
2.826 -1.920 7.588
```

Results
**Total magnetic moment**: 0.00 Bohr magnetons per cell
**Uncorrected formation energy**: -0.258 eV per atom
**Calculated volume**: 224 Å³/cell
**Symmetry**: No. 15
**Theoretical density**: 4.50 g cm⁻³